Below is a relaxed structure of Th2ScP3Ir12, with properties calculated at the PBE-GGA level.

Values from the calculation:
As for the formation energy: -0.139 eV per atom. Its space group is R-3m.

Lattice parameters (Å, degrees): 7.342 7.342 7.342 68.88 68.88 68.88
Fractional positions:
P: 0.000 0.500 0.000
P: 0.000 0.000 0.500
P: 0.500 0.000 0.000
Ir: 0.145 0.145 0.620
Ir: 0.145 0.620 0.145
Ir: 0.342 0.342 0.906
Ir: 0.855 0.380 0.855
Ir: 0.658 0.658 0.094
Ir: 0.658 0.094 0.658
Ir: 0.342 0.906 0.342
Ir: 0.855 0.855 0.380
Ir: 0.094 0.658 0.658
Ir: 0.906 0.342 0.342
Ir: 0.620 0.145 0.145
Ir: 0.380 0.855 0.855
Sc: 0.000 0.000 0.000
Th: 0.604 0.604 0.604
Th: 0.396 0.396 0.396

***

Below is a relaxed structure of Mg2BeAs, with properties calculated at the PBE-GGA level.

Values from the calculation:
As for the formation energy: -0.177 eV per atom. Its space group is Pm. The value obtained for the polymorph energy (0 for the lowest one) is 0.000 kcal/mol of atoms.

Lattice parameters (Å, degrees): 3.665 3.923 5.279 68.21 90.00 90.00
Fractional positions:
Be: 0.500 0.551 0.770
As: 0.000 0.691 0.495
Mg: 0.500 0.281 0.312
Mg: 0.000 0.977 0.923

***

Below is a relaxed structure of Tl2ReBr2, with properties calculated at the PBE-GGA level.

Values from the calculation:
Its space group is I4/mmm. The value obtained for the polymorph energy (0 for the lowest one) is 13.258 kcal/mol of atoms.

Lattice parameters (Å, degrees): 3.776 3.776 10.305 79.44 79.44 90.00
Fractional positions:
Tl: 0.426 0.426 0.148
Tl: 0.574 0.574 0.852
Re: 0.000 0.000 0.000
Br: 0.250 0.750 0.500
Br: 0.750 0.250 0.500

***

Below is a relaxed structure of CaDy2Ag3, with properties calculated at the PBE-GGA level.

Values from the calculation:
As for the formation energy: -0.322 eV per atom. Its space group is P4/mmm. The value obtained for the polymorph energy (0 for the lowest one) is 0.000 kcal/mol of atoms.

Lattice parameters (Å, degrees): 3.640 3.640 11.105 90.00 90.00 90.00
Fractional positions:
Dy: 0.500 0.500 0.165
Dy: 0.500 0.500 0.835
Ag: 0.000 0.000 0.320
Ag: 0.000 0.000 0.000
Ag: 0.000 0.000 0.680
Ca: 0.500 0.500 0.500

***

Below is a relaxed structure of LaCrTe3, with properties calculated at the PBE-GGA level.

Values from the calculation:
The calculated total energy comes out at -5.0822 eV per atom. Its space group is Pm-3m.

Lattice parameters (Å, degrees): 5.184 5.184 5.184 90.00 90.00 90.00
Fractional positions:
Te: 0.000 0.000 0.500
Te: 0.500 0.000 0.000
Te: 0.000 0.500 0.000
La: 0.500 0.500 0.500
Cr: 0.000 0.000 0.000

***

Below is a relaxed structure of Ac2YAu2, with properties calculated at the PBE-GGA level.

Values from the calculation:
As for the formation energy: -0.646 eV per atom. Its space group is P4/mbm.

Lattice parameters (Å, degrees): 4.190 8.572 8.572 90.00 90.00 90.00
Fractional positions:
Au: 0.500 0.633 0.633
Au: 0.500 0.367 0.367
Au: 0.500 0.867 0.133
Au: 0.500 0.133 0.867
Y: 0.500 0.000 0.500
Y: 0.500 0.500 0.000
Ac: 0.000 0.832 0.832
Ac: 0.000 0.168 0.168
Ac: 0.000 0.668 0.332
Ac: 0.000 0.332 0.668

***

Below is a relaxed structure of Er3Ni8Ge, with properties calculated at the PBE-GGA level.

Values from the calculation:
As for the formation energy: -0.437 eV per atom. Its space group is R3m.

Lattice parameters (Å, degrees): 4.998 4.998 8.578 73.06 73.06 60.00
Fractional positions:
Er: 0.989 0.989 0.032
Er: 0.508 0.508 0.477
Er: 0.378 0.378 0.867
Ni: 0.941 0.941 0.682
Ni: 0.190 0.190 0.429
Ni: 0.690 0.690 0.931
Ni: 0.941 0.437 0.682
Ni: 0.942 0.438 0.182
Ni: 0.438 0.438 0.182
Ni: 0.438 0.942 0.182
Ni: 0.437 0.941 0.682
Ge: 0.860 0.860 0.421

***

Below is a relaxed structure of CoSnBr2, with properties calculated at the PBE-GGA level.

Values from the calculation:
Its space group is Fm-3m. The value obtained for the polymorph energy (0 for the lowest one) is 12.193 kcal/mol of atoms.

Lattice parameters (Å, degrees): 5.089 5.089 5.089 60.00 60.00 60.00
Site moments in Bohr magnetons follow the coordinates.
Fractional positions:
Sn: 0.500 0.500 0.500  -0.08
Co: 0.000 0.000 0.000  1.83
Br: 0.750 0.750 0.750  0.03
Br: 0.250 0.250 0.250  0.03